[1]
! V4CrIr5, relaxed, DFT PBE; values from VASP
! - calculated total energy (eV per cell) = -94.70
! - Fermi-level density of states (states/eV/atom) = 1.290
! - space-group type = P4/mmm
! - total magnetization (μB/f.u.) = 0.58
&SYSTEM
  ibrav = 0, nat = 10, ntyp = 3
/
ATOMIC_SPECIES
V 50.94 V.upf
Ir 192.22 Ir.upf
Cr 52.00 Cr.upf
CELL_PARAMETERS angstrom
-1.487 1.990 -1.147
0.219 -1.237 -2.431
-15.381 -9.505 3.454
ATOMIC_POSITIONS crystal
V 0.000 0.000 0.801
Ir 0.500 0.500 0.096
Cr 0.000 0.000 0.000
V 0.000 0.000 0.199
V 0.000 0.000 0.600
Ir 0.500 0.500 0.500
Ir 0.500 0.500 0.904
V 0.000 0.000 0.400
Ir 0.500 0.500 0.701
Ir 0.500 0.500 0.299



[2]
! RbTl, relaxed, DFT PBE; values from VASP
! - calculated total energy (eV per cell) = -6.69
! - Fermi-level density of states (states/eV/atom) = 1.150
! - E above lowest polymorph (meV per atom) = 53.1
! - space-group type = P6_3/mmc
! - total magnetization (μB/f.u.) = 0.00
&SYSTEM
  ibrav = 0, nat = 4, ntyp = 2
/
ATOMIC_SPECIES
Tl 204.38 Tl.upf
Rb 85.47 Rb.upf
CELL_PARAMETERS angstrom
6.516 0.000 0.000
-3.258 5.643 0.000
0.000 0.000 5.898
ATOMIC_POSITIONS crystal
Tl 0.000 0.000 0.500
Rb 0.333 0.667 0.750
Rb 0.667 0.333 0.250
Tl 0.000 0.000 0.000



[3]
! NpSi2Ni, relaxed, DFT PBE; values from VASP
! - calculated total energy (eV per cell) = -31.33
! - Fermi-level density of states (states/eV/atom) = 1.199
! - space-group type = R-3m
! - total magnetization (μB/f.u.) = 3.88
! - E_form (uncorrected) (eV per atom) = -0.4403
&SYSTEM
  ibrav = 0, nat = 4, ntyp = 3
/
ATOMIC_SPECIES
Si 28.09 Si.upf
Np 237.00 Np.upf
Ni 58.69 Ni.upf
CELL_PARAMETERS angstrom
-1.133 -2.999 2.167
1.586 -0.581 3.482
-3.447 1.699 4.004
ATOMIC_POSITIONS crystal
Si 0.711 0.711 0.866
Np 0.500 0.500 0.500
Ni 0.000 0.000 0.000
Si 0.289 0.289 0.134



[4]
! Tl2V2CuSe6, relaxed, DFT PBE; values from VASP
! - calculated total energy (eV per cell) = -52.83
! - Fermi-level density of states (states/eV/atom) = 0.561
! - space-group type = C2/m
! - total magnetization (μB/f.u.) = 1.56
! - E_form (uncorrected) (eV per atom) = -0.4413
&SYSTEM
  ibrav = 0, nat = 11, ntyp = 4
/
ATOMIC_SPECIES
Cu 63.55 Cu.upf
Se 78.96 Se.upf
V 50.94 V.upf
Tl 204.38 Tl.upf
CELL_PARAMETERS angstrom
-6.177 -0.754 -1.911
3.354 -4.541 3.242
-1.240 5.098 6.040
ATOMIC_POSITIONS crystal
Cu 0.000 0.000 0.500
Se 0.576 0.917 0.303
Se 0.083 0.424 0.697
Se 0.726 0.726 0.661
V 0.310 0.690 0.500
V 0.690 0.310 0.500
Tl 0.849 0.151 0.000
Se 0.424 0.083 0.697
Se 0.917 0.576 0.303
Se 0.274 0.274 0.339
Tl 0.151 0.849 0.000



[5]
! TaTl2PbSe4, relaxed, DFT PBE; values from VASP
! - calculated total energy (eV per cell) = -38.01
! - Fermi-level density of states (states/eV/atom) = 0.290
! - space-group type = I-4
! - total magnetization (μB/f.u.) = 0.00
! - E_form (uncorrected) (eV per atom) = -0.4725
&SYSTEM
  ibrav = 0, nat = 8, ntyp = 4
/
ATOMIC_SPECIES
Se 78.96 Se.upf
Tl 204.38 Tl.upf
Pb 207.20 Pb.upf
Ta 180.95 Ta.upf
CELL_PARAMETERS angstrom
-4.591 2.470 -4.806
3.596 -5.302 -3.039
-3.748 -1.977 5.685
ATOMIC_POSITIONS crystal
Se 0.020 0.167 0.503
Se 0.337 0.853 0.833
Tl 0.000 0.000 0.000
Pb 0.500 0.250 0.750
Se 0.980 0.483 0.147
Se 0.663 0.497 0.517
Ta 0.000 0.500 0.500
Tl 0.500 0.750 0.250



[6]
! Pr2CuSe4, relaxed, DFT PBE; values from VASP
! - calculated total energy (eV per cell) = -74.69
! - Fermi-level density of states (states/eV/atom) = 0.224
! - space-group type = P2_1/m
! - total magnetization (μB/f.u.) = 0.00
! - E_form (uncorrected) (eV per atom) = -1.3932
&SYSTEM
  ibrav = 0, nat = 14, ntyp = 3
/
ATOMIC_SPECIES
Se 78.96 Se.upf
Cu 63.55 Cu.upf
Pr 140.91 Pr.upf
CELL_PARAMETERS angstrom
7.205 0.000 0.085
0.000 5.919 0.000
-2.554 0.000 8.022
ATOMIC_POSITIONS crystal
Se 0.075 0.750 0.396
Cu 0.762 0.250 0.815
Se 0.923 0.250 0.108
Se 0.077 0.750 0.892
Pr 0.764 0.750 0.567
Pr 0.233 0.250 0.934
Cu 0.238 0.750 0.185
Pr 0.767 0.750 0.066
Se 0.489 0.509 0.746
Pr 0.236 0.250 0.433
Se 0.511 0.009 0.254
Se 0.511 0.491 0.254
Se 0.925 0.250 0.604
Se 0.489 0.991 0.746